Entry 1:
{
  "formula": "LiMoAu4",
  "functional": "GGA-PBE",
  "state": "optimized geometry",
  "cell": [[0.0000, 3.8792, 3.8792], [3.8792, 0.0000, 3.8792], [3.8792, 3.8792, 0.0000]],
  "species": ["Li", "Mo", "Au", "Au", "Au", "Au"],
  "frac_coords": [[0.0000, 0.0000, 0.0000], [0.7500, 0.7500, 0.7500], [0.3749, 0.3749, 0.3749], [0.3749, 0.3749, 0.8754], [0.3749, 0.8754, 0.3749], [0.8754, 0.3749, 0.3749]],
  "formation_energy_ev_per_atom": 0.29,
  "spacegroup": "F-43m (216)"
}

***

Entry 2:
{
  "formula": "Zn2FeAs",
  "functional": "GGA-PBE",
  "state": "optimized geometry",
  "cell": [[2.8671, 0.0000, 0.0000], [0.0000, 4.3468, 0.0000], [-0.4239, 0.0000, 4.7718]],
  "species": ["Zn", "Zn", "Fe", "As"],
  "frac_coords": [[0.0000, 0.0000, 0.0000], [0.0478, 0.5000, 0.7042], [0.5184, 0.0000, 0.5052], [0.4544, 0.5000, 0.2426]],
  "formation_energy_ev_per_atom": 0.16,
  "spacegroup": "Pm (6)"
}

***

Entry 3:
{
  "formula": "YAl3Ga3",
  "functional": "GGA-PBE",
  "state": "optimized geometry",
  "cell": [[8.1460, 0.0000, 0.0000], [0.0000, 8.1460, 0.0000], [0.0000, 0.0000, 8.1460]],
  "species": ["Y", "Y", "Y", "Y", "Al", "Al", "Al", "Al", "Al", "Al", "Al", "Al", "Al", "Al", "Al", "Al", "Ga", "Ga", "Ga", "Ga", "Ga", "Ga", "Ga", "Ga", "Ga", "Ga", "Ga", "Ga"],
  "frac_coords": [[0.0184, 0.4816, 0.5184], [0.4816, 0.5184, 0.0184], [0.5184, 0.0184, 0.4816], [0.9816, 0.9816, 0.9816], [0.1264, 0.6264, 0.8736], [0.1468, 0.8532, 0.3532], [0.1908, 0.1908, 0.1908], [0.3092, 0.8092, 0.6908], [0.3532, 0.1468, 0.8532], [0.3736, 0.3736, 0.3736], [0.6264, 0.8736, 0.1264], [0.6468, 0.6468, 0.6468], [0.6908, 0.3092, 0.8092], [0.8092, 0.6908, 0.3092], [0.8532, 0.3532, 0.1468], [0.8736, 0.1264, 0.6264], [0.0533, 0.3131, 0.8632], [0.1368, 0.5533, 0.1869], [0.1869, 0.1368, 0.5533], [0.3131, 0.8632, 0.0533], [0.3632, 0.4467, 0.6869], [0.4467, 0.6869, 0.3632], [0.5533, 0.1869, 0.1368], [0.6368, 0.9467, 0.8131], [0.6869, 0.3632, 0.4467], [0.8131, 0.6368, 0.9467], [0.8632, 0.0533, 0.3131], [0.9467, 0.8131, 0.6368]],
  "formation_energy_ev_per_atom": -0.18,
  "spacegroup": "P2_13 (198)"
}

***

Entry 4:
{
  "formula": "La12Er3Zn",
  "functional": "GGA-PBE",
  "state": "optimized geometry",
  "cell": [[5.1355, 0.0000, 0.0000], [0.0000, 5.1355, 0.0000], [0.0000, 0.0000, 20.6679]],
  "species": ["La", "La", "La", "La", "La", "La", "La", "La", "La", "La", "La", "La", "Er", "Er", "Er", "Zn"],
  "frac_coords": [[0.0000, 0.0000, 0.0000], [0.0000, 0.0000, 0.2456], [0.0000, 0.0000, 0.5000], [0.0000, 0.0000, 0.7544], [0.0000, 0.5000, 0.1192], [0.0000, 0.5000, 0.3730], [0.0000, 0.5000, 0.6270], [0.0000, 0.5000, 0.8808], [0.5000, 0.0000, 0.1192], [0.5000, 0.0000, 0.3730], [0.5000, 0.0000, 0.6270], [0.5000, 0.0000, 0.8808], [0.5000, 0.5000, 0.2458], [0.5000, 0.5000, 0.5000], [0.5000, 0.5000, 0.7542], [0.5000, 0.5000, 0.0000]],
  "formation_energy_ev_per_atom": 0.00,
  "spacegroup": "P4/mmm (123)"
}

***

Entry 5:
{
  "formula": "Ga4FeRu5",
  "functional": "GGA-PBE",
  "state": "optimized geometry",
  "cell": [[3.0222, 0.0000, 0.0000], [0.0000, 3.0222, 0.0000], [0.0000, 0.0000, 15.0629]],
  "species": ["Ga", "Ga", "Ga", "Ga", "Fe", "Ru", "Ru", "Ru", "Ru", "Ru"],
  "frac_coords": [[0.0000, 0.0000, 0.1011], [0.0000, 0.0000, 0.3020], [0.0000, 0.0000, 0.6980], [0.0000, 0.0000, 0.8989], [0.0000, 0.0000, 0.5000], [0.5000, 0.5000, 0.0000], [0.5000, 0.5000, 0.2022], [0.5000, 0.5000, 0.4039], [0.5000, 0.5000, 0.5961], [0.5000, 0.5000, 0.7978]],
  "formation_energy_ev_per_atom": -0.22,
  "spacegroup": "P4/mmm (123)"
}

***

Entry 6:
{
  "formula": "PaCuPO6",
  "functional": "GGA-PBE",
  "state": "optimized geometry",
  "cell": [[4.7803, 0.0000, 0.0000], [0.0000, 4.7803, 0.0000], [0.0000, 0.0000, 8.9775]],
  "species": ["Pa", "Pa", "Cu", "Cu", "P", "P", "O", "O", "O", "O", "O", "O", "O", "O", "O", "O", "O", "O"],
  "frac_coords": [[0.0000, 0.0000, 0.0000], [0.5000, 0.5000, 0.5000], [0.0000, 0.0000, 0.3340], [0.5000, 0.5000, 0.8340], [0.0000, 0.0000, 0.6603], [0.5000, 0.5000, 0.1603], [0.1700, 0.1700, 0.5173], [0.1744, 0.1744, 0.7941], [0.2330, 0.2330, 0.1602], [0.2670, 0.7330, 0.6602], [0.3256, 0.6744, 0.2941], [0.3300, 0.6700, 0.0173], [0.6700, 0.3300, 0.0173], [0.6744, 0.3256, 0.2941], [0.7330, 0.2670, 0.6602], [0.7670, 0.7670, 0.1602], [0.8256, 0.8256, 0.7941], [0.8300, 0.8300, 0.5173]],
  "spacegroup": "P4_2nm (102)",
  "total_energy_ev_per_atom": -7.503
}

***

Entry 7:
{
  "formula": "PrTeO5",
  "functional": "GGA-PBE",
  "state": "optimized geometry",
  "cell": [[-3.6987, 3.7358, 3.5706], [3.6987, -3.7358, 3.5706], [3.6987, 3.7358, -3.5706]],
  "species": ["Pr", "Pr", "Te", "Te", "O", "O", "O", "O", "O", "O", "O", "O", "O", "O"],
  "frac_coords": [[0.4669, 0.2169, 0.2500], [0.5331, 0.7831, 0.7500], [0.0000, 0.0000, 0.5000], [0.0000, 0.5000, 0.0000], [0.1014, 0.8514, 0.2500], [0.2570, 0.0000, 0.7570], [0.2570, 0.5000, 0.2570], [0.2612, 0.3169, 0.5557], [0.2612, 0.7056, 0.9443], [0.7388, 0.2944, 0.0557], [0.7388, 0.6831, 0.4443], [0.7430, 0.0000, 0.2430], [0.7430, 0.5000, 0.7430], [0.8986, 0.1486, 0.7500]],
  "spacegroup": "Imma (74)",
  "total_energy_ev_per_atom": -6.307
}